HoPa2Ti: relaxed, GGA-PBE.

The structure in POSCAR format:
```
HoPa2Ti
1.0
-1.633 -1.967 -1.790
-1.538 -1.015 2.519
-6.893 6.992 -1.392
Pa Ho Ti
2 1 1
Cartesian
-5.330 5.406 -1.076
-1.563 1.586 -0.316
-5.032 2.005 -0.331
-1.586 -1.491 0.365
```

M_tot = 0.001 Bohr magnetons per cell
formation energy from the elements = 0.2133 eV per atom